(1)
{"formula": "Tm4In2B", "functional": "PBE", "state": "optimized geometry", "volume_a3_per_atom": 26.5, "final_energy_ev_per_atom": -4.53, "sg": "No. 139", "crystal_system": "tetragonal", "magnetic_moment_mub_per_fu": 0.00, "formation_energy_ev_per_atom": -0.24, "lattice_angstrom": [[-2.347, 2.082, 3.841], [-1.395, -4.489, 1.581], [8.175, 0.698, 1.416]], "species": ["B", "Tm", "Tm", "Tm", "Tm", "In", "In"], "frac_coords": [[0.000, 0.000, 0.000], [0.832, 0.832, 0.665], [0.168, 0.168, 0.335], [0.000, 0.500, 0.000], [0.500, 0.000, 0.000], [0.629, 0.629, 0.259], [0.371, 0.371, 0.741]]}

=====

(2)
{"formula": "Ba2CrAg2", "functional": "PBE", "state": "optimized geometry", "e_above_lowest_polymorph_mev_per_atom": 0, "volume_a3_per_atom": 35.4, "final_energy_ev_per_atom": -3.58, "sg": "No. 139", "crystal_system": "tetragonal", "magnetic_moment_mub_per_fu": 4.87, "formation_energy_ev_per_atom": 0.26, "lattice_angstrom": [[6.502, 0.000, 0.000], [0.000, 6.502, 0.000], [3.251, 3.251, 4.191]], "species": ["Cr", "Ba", "Ba", "Ag", "Ag"], "frac_coords": [[0.000, 0.000, 0.000], [0.750, 0.250, 0.500], [0.250, 0.750, 0.500], [0.337, 0.337, 0.326], [0.663, 0.663, 0.674]]}

=====

(3)
{"formula": "CdIr2Ru", "functional": "PBE", "state": "optimized geometry", "volume_a3_per_atom": 15.7, "final_energy_ev_per_atom": -6.77, "sg": "No. 47", "crystal_system": "orthorhombic", "magnetic_moment_mub_per_fu": 0.00, "formation_energy_ev_per_atom": 0.21, "lattice_angstrom": [[-1.140, 2.337, -1.015], [-2.695, -0.133, 2.719], [3.410, 3.198, 3.536]], "species": ["Cd", "Ir", "Ir", "Ru"], "frac_coords": [[0.500, 0.500, 0.750], [0.000, 0.000, 0.025], [0.000, 0.000, 0.475], [0.500, 0.500, 0.250]]}

=====

Please write out number 1 again, unchanged.
{"formula": "Tm4In2B", "functional": "PBE", "state": "optimized geometry", "volume_a3_per_atom": 26.5, "final_energy_ev_per_atom": -4.53, "sg": "No. 139", "crystal_system": "tetragonal", "magnetic_moment_mub_per_fu": 0.00, "formation_energy_ev_per_atom": -0.24, "lattice_angstrom": [[-2.347, 2.082, 3.841], [-1.395, -4.489, 1.581], [8.175, 0.698, 1.416]], "species": ["B", "Tm", "Tm", "Tm", "Tm", "In", "In"], "frac_coords": [[0.000, 0.000, 0.000], [0.832, 0.832, 0.665], [0.168, 0.168, 0.335], [0.000, 0.500, 0.000], [0.500, 0.000, 0.000], [0.629, 0.629, 0.259], [0.371, 0.371, 0.741]]}